(1)
# SiAu2Cl | Alexandria via LeMat-Bulk | PBE | optimized geometry
data_SiAu2Cl
_chemical_formula_sum 'Si1 Au2 Cl1'
_cell_length_a 3.895
_cell_length_b 3.895
_cell_length_c 5.265
_cell_angle_alpha 90.00
_cell_angle_beta 90.00
_cell_angle_gamma 90.00
_symmetry_space_group_name_H-M 'P 4/m m m'
_symmetry_Int_Tables_number 123
_symmetry_space_group_name_Hall '-P 4 2'
loop_
_atom_site_label
_atom_site_fract_x
_atom_site_fract_y
_atom_site_fract_z
_atom_site_occupancy
Si1 0.000 0.000 0.000 1
Au1 0.000 0.500 0.500 1
Cl1 0.500 0.500 0.000 1
# - calculated total energy (eV/cell) = -12.4
# - DOS at the Fermi energy (states/eV/atom) = 0.439
# - total magnetic moment (μB/cell) = 0.00
# - energy above the lowest structure with this stoichiometry (kcal/mol of atoms) = 10.232
# - ρ (kg/m³) = 9512

***

(2)
# CdIn6Hg3 | Alexandria via LeMat-Bulk | PBE | optimized geometry
data_CdIn6Hg3
_chemical_formula_sum 'Cd4 In24 Hg12'
_cell_length_a 8.586
_cell_length_b 14.536
_cell_length_c 8.626
_cell_angle_alpha 90.00
_cell_angle_beta 90.00
_cell_angle_gamma 90.00
_symmetry_space_group_name_H-M 'C m c 21'
_symmetry_Int_Tables_number 36
_symmetry_space_group_name_Hall 'C 2c -2'
loop_
_atom_site_label
_atom_site_fract_x
_atom_site_fract_y
_atom_site_fract_z
_atom_site_occupancy
Cd1 0.000 0.222 0.000 1
In1 0.000 0.217 0.362 1
In2 0.000 0.438 0.191 1
In3 0.190 0.196 0.687 1
In4 0.196 0.406 0.871 1
Hg1 0.000 0.001 0.700 1
Hg2 0.199 0.396 0.510 1
# - calculated total energy (eV/cell) = -71.9
# - formation energy (eV per atom) = 0.03
# - DOS at the Fermi energy (states/eV/atom) = 0.423
# - total magnetic moment (μB/cell) = 0.00
# - ρ (kg/m³) = 8657

***

(3)
# Li2TbMgHg4 | Alexandria via LeMat-Bulk | PBE | optimized geometry
data_Li2TbMgHg4
_chemical_formula_sum 'Li6 Tb3 Mg3 Hg12'
_cell_length_a 4.7769
_cell_length_b 4.7769
_cell_length_c 26.1178
_cell_angle_alpha 90.00
_cell_angle_beta 90.00
_cell_angle_gamma 120.00
_symmetry_space_group_name_H-M 'R -3 m'
_symmetry_Int_Tables_number 166
_symmetry_space_group_name_Hall '-R 3 2"'
loop_
_atom_site_label
_atom_site_fract_x
_atom_site_fract_y
_atom_site_fract_z
_atom_site_occupancy
Li1 0.0000 0.0000 0.2400 1
Tb1 0.0000 0.0000 0.0000 1
Mg1 0.0000 0.0000 0.5000 1
Hg1 0.0000 0.0000 0.1233 1
Hg2 0.0000 0.0000 0.3866 1
# - calculated total energy (eV/cell) = -42.4
# - formation energy (eV per atom) = -0.36
# - DOS at the Fermi energy (states/eV/atom) = 0.435
# - total magnetic moment (μB/cell) = 0.00
# - ρ (kg/m³) = 9647

***

(4)
# CaAgHgMo2 | Alexandria via LeMat-Bulk | PBE | optimized geometry
data_CaAgHgMo2
_chemical_formula_sum 'Ca1 Ag1 Hg1 Mo2'
_cell_length_a 5.250
_cell_length_b 5.250
_cell_length_c 5.535
_cell_angle_alpha 90.00
_cell_angle_beta 90.00
_cell_angle_gamma 90.00
_symmetry_space_group_name_H-M 'P 4/m m m'
_symmetry_Int_Tables_number 123
_symmetry_space_group_name_Hall '-P 4 2'
loop_
_atom_site_label
_atom_site_fract_x
_atom_site_fract_y
_atom_site_fract_z
_atom_site_occupancy
Ca1 0.000 0.000 0.000 1
Ag1 0.500 0.500 0.000 1
Hg1 0.000 0.000 0.500 1
Mo1 0.000 0.500 0.500 1
# - calculated total energy (eV/cell) = -18.5
# - formation energy (eV per atom) = 1.66
# - DOS at the Fermi energy (states/eV/atom) = 0.694
# - total magnetic moment (μB/cell) = 7.19
# - ρ (kg/m³) = 5881

***

Look up the total magnetic moment of the third one.
0.00 μB/cell